Entry 1:
CsLi2PaTe4 | Alexandria via LeMat-Bulk | PBE | relaxed; E_form (uncorrected) = -0.766 eV per atom; total moment = 0.0 Bohr magnetons per cell
1.0
-3.976 3.978 5.002
3.976 -3.978 5.002
3.976 3.978 -5.002
Cs Li Pa Te
1 2 1 4
Direct
0.000 0.000 0.000 Cs
0.251 0.751 0.500 Li
0.749 0.249 0.500 Li
0.500 0.500 0.000 Pa
0.120 0.120 0.593 Te
0.473 0.880 0.000 Te
0.527 0.527 0.407 Te
0.880 0.473 0.000 Te


Entry 2:
Er2Ni2Sn | Alexandria via LeMat-Bulk | PBE | relaxed; DOS(E_F) = 0.696 states/eV per atom; E_form = -0.614 eV per atom; total moment = 0.0 Bohr magnetons per cell
1.0
7.352 0.000 0.000
0.000 7.352 0.000
0.000 0.000 3.607
Er Ni Sn
4 4 2
Direct
0.173 0.327 0.000 Er
0.327 0.827 0.000 Er
0.673 0.173 0.000 Er
0.827 0.673 0.000 Er
0.120 0.620 0.500 Ni
0.380 0.120 0.500 Ni
0.620 0.880 0.500 Ni
0.880 0.380 0.500 Ni
0.000 0.000 0.500 Sn
0.500 0.500 0.500 Sn


Entry 3:
BaNa2In | Alexandria via LeMat-Bulk | PBE | relaxed; DOS(E_F) = 0.808 states/eV per atom; E_form = 0.149 eV per atom; total moment = 0.0 Bohr magnetons per cell
1.0
1.915 1.106 12.596
-1.915 1.106 12.596
0.000 -2.211 12.596
Ba Na In
1 2 1
Direct
0.000 0.000 0.000 Ba
0.099 0.099 0.099 Na
0.901 0.901 0.901 Na
0.500 0.500 0.500 In


Entry 4:
Li3SiPd | Alexandria via LeMat-Bulk | PBE | relaxed; E_form (uncorrected) = 0.373 eV per atom; DOS(E_F) = 0.506 states/eV per atom; total moment = 0.7 Bohr magnetons per cell
1.0
4.602 0.000 0.000
0.000 4.602 0.000
0.000 0.000 4.602
Li Si Pd
3 1 1
Direct
0.000 0.000 0.500 Li
0.000 0.500 0.000 Li
0.500 0.000 0.000 Li
0.000 0.000 0.000 Si
0.500 0.500 0.500 Pd


Entry 5:
FeBi2BSe | Alexandria via LeMat-Bulk | PBE | relaxed; E_form (uncorrected) = 1.346 eV per atom; DOS(E_F) = 1.086 states/eV per atom; total moment = 2.9 Bohr magnetons per cell
1.0
5.583 0.000 0.000
0.000 5.583 0.000
0.000 0.000 3.917
Fe Bi B Se
1 2 1 1
Direct
0.000 0.000 0.000 Fe
0.000 0.500 0.500 Bi
0.500 0.000 0.500 Bi
0.500 0.500 0.000 B
0.500 0.500 0.500 Se


Entry 6:
Ga2BiRh2 | Alexandria via LeMat-Bulk | PBE | relaxed; DOS(E_F) = 0.757 states/eV per atom; E_form = -0.240 eV per atom; total moment = 0.0 Bohr magnetons per cell
1.0
-2.201 2.201 4.832
2.201 -2.201 4.832
2.201 2.201 -4.832
Ga Bi Rh
2 1 2
Direct
0.133 0.133 0.000 Ga
0.867 0.867 0.000 Ga
0.500 0.500 0.000 Bi
0.250 0.750 0.500 Rh
0.750 0.250 0.500 Rh


Entry 7:
Na2Hg2Sb | Alexandria via LeMat-Bulk | PBE | relaxed; E_form (uncorrected) = -0.193 eV per atom; DOS(E_F) = 0.325 states/eV per atom; total moment = 0.0 Bohr magnetons per cell
1.0
8.659 0.000 0.000
0.000 8.659 0.000
0.000 0.000 3.458
Na Hg Sb
4 4 2
Direct
0.175 0.325 0.000 Na
0.325 0.825 0.000 Na
0.675 0.175 0.000 Na
0.825 0.675 0.000 Na
0.124 0.624 0.500 Hg
0.376 0.124 0.500 Hg
0.624 0.876 0.500 Hg
0.876 0.376 0.500 Hg
0.000 0.000 0.500 Sb
0.500 0.500 0.500 Sb


Entry 8:
SrAuCl4 | Alexandria via LeMat-Bulk | PBE | relaxed; E_form (uncorrected) = -1.206 eV per atom; DOS(E_F) = 0.912 states/eV per atom; total moment = 0.0 Bohr magnetons per cell
1.0
-4.671 4.671 4.369
4.671 -4.671 4.369
4.671 4.671 -4.369
Sr Au Cl
2 2 8
Direct
0.375 0.625 0.750 Sr
0.625 0.375 0.250 Sr
0.125 0.875 0.250 Au
0.875 0.125 0.750 Au
0.091 0.663 0.428 Cl
0.265 0.337 0.928 Cl
0.337 0.265 0.428 Cl
0.337 0.909 0.072 Cl
0.663 0.091 0.928 Cl
0.663 0.735 0.572 Cl
0.735 0.663 0.072 Cl
0.909 0.337 0.572 Cl


Entry 9:
RbAlSe2 | Alexandria via LeMat-Bulk | PBE | relaxed; E_form (uncorrected) = -1.009 eV per atom; DOS(E_F) = 0.000 states/eV per atom; total moment = 0.0 Bohr magnetons per cell
1.0
11.246 0.000 0.000
0.000 4.064 0.000
-6.933 0.000 11.361
Rb Al Se
4 4 8
Direct
0.135 0.001 0.444 Rb
0.135 0.499 0.944 Rb
0.865 0.501 0.056 Rb
0.865 0.999 0.556 Rb
0.388 0.003 0.261 Al
0.388 0.497 0.761 Al
0.612 0.503 0.239 Al
0.612 0.997 0.739 Al
0.155 0.002 0.184 Se
0.155 0.498 0.684 Se
0.473 0.003 0.123 Se
0.473 0.497 0.623 Se
0.527 0.503 0.377 Se
0.527 0.997 0.877 Se
0.845 0.502 0.316 Se
0.845 0.998 0.816 Se


Entry 10:
Cs2ICl | Alexandria via LeMat-Bulk | PBE | relaxed; E_form (uncorrected) = -1.749 eV per atom; DOS(E_F) = 0.000 states/eV per atom; total moment = 0.0 Bohr magnetons per cell
1.0
2.613 1.509 8.759
-2.613 1.509 8.759
0.000 -3.017 8.759
Cs I Cl
2 1 1
Direct
0.241 0.241 0.241 Cs
0.759 0.759 0.759 Cs
0.000 0.000 0.000 I
0.500 0.500 0.500 Cl


Entry 11:
K2In3Ga4Sn | Alexandria via LeMat-Bulk | PBE | relaxed; DOS(E_F) = 0.352 states/eV per atom; E_form = -0.127 eV per atom; total moment = 0.0 Bohr magnetons per cell
1.0
4.742 0.000 0.000
0.000 4.742 0.000
0.000 0.000 12.103
K In Ga Sn
2 3 4 1
Direct
0.000 0.500 0.247 K
0.500 0.000 0.753 K
0.000 0.500 0.868 In
0.500 0.000 0.132 In
0.500 0.500 0.500 In
0.000 0.000 0.000 Ga
0.000 0.500 0.640 Ga
0.500 0.000 0.360 Ga
0.500 0.500 0.000 Ga
0.000 0.000 0.500 Sn


Entry 12:
Sm2Dy3Tm6 | Alexandria via LeMat-Bulk | PBE | relaxed; DOS(E_F) = 1.561 states/eV per atom; E_form = 0.277 eV per atom; total moment = 0.0 Bohr magnetons per cell
1.0
-2.346 2.346 16.450
2.346 -2.346 16.450
2.346 2.346 -16.450
Sm Dy Tm
2 3 6
Direct
0.046 0.046 0.000 Sm
0.954 0.954 0.000 Sm
0.298 0.298 0.000 Dy
0.500 0.500 0.000 Dy
0.702 0.702 0.000 Dy
0.122 0.622 0.500 Tm
0.195 0.195 0.000 Tm
0.378 0.878 0.500 Tm
0.622 0.122 0.500 Tm
0.805 0.805 0.000 Tm
0.878 0.378 0.500 Tm


Entry 13:
Ac3La4Dy4 | Alexandria via LeMat-Bulk | PBE | relaxed; DOS(E_F) = 1.621 states/eV per atom; E_form = 0.056 eV per atom; total moment = 0.0 Bohr magnetons per cell
1.0
3.693 0.000 0.000
-0.002 5.899 0.000
-1.838 -2.932 18.674
Ac La Dy
3 4 4
Direct
0.000 0.000 0.000 Ac
0.137 0.637 0.274 Ac
0.863 0.363 0.726 Ac
0.266 0.266 0.532 La
0.408 0.908 0.816 La
0.592 0.092 0.184 La
0.734 0.734 0.468 La
0.317 0.817 0.635 Dy
0.455 0.454 0.910 Dy
0.545 0.546 0.090 Dy
0.683 0.183 0.365 Dy


Entry 14:
Tb3Sm6Sc2 | Alexandria via LeMat-Bulk | PBE | relaxed; DOS(E_F) = 1.451 states/eV per atom; E_form = 0.199 eV per atom; total moment = 0.0 Bohr magnetons per cell
1.0
3.082 -5.342 0.000
3.082 5.342 0.000
-2.068 0.000 11.087
Tb Sm Sc
3 6 2
Direct
0.000 0.000 0.000 Tb
0.334 0.666 0.000 Tb
0.666 0.334 0.000 Tb
0.088 0.421 0.263 Sm
0.246 0.246 0.737 Sm
0.421 0.088 0.263 Sm
0.579 0.912 0.737 Sm
0.754 0.754 0.263 Sm
0.912 0.579 0.737 Sm
0.167 0.833 0.500 Sc
0.833 0.167 0.500 Sc


Entry 15:
KAgPRu | Alexandria via LeMat-Bulk | PBE | relaxed; DOS(E_F) = 0.464 states/eV per atom; E_form = -0.376 eV per atom; total moment = 0.0 Bohr magnetons per cell
1.0
3.998 0.000 0.000
0.000 3.998 0.000
0.000 0.000 12.113
K Ag P Ru
2 2 2 2
Direct
0.250 0.250 0.248 K
0.750 0.750 0.752 K
0.250 0.750 0.000 Ag
0.750 0.250 0.000 Ag
0.250 0.250 0.598 P
0.750 0.750 0.402 P
0.250 0.750 0.500 Ru
0.750 0.250 0.500 Ru


Entry 16:
BaOsCl5 | Alexandria via LeMat-Bulk | PBE | relaxed; E_form (uncorrected) = -1.165 eV per atom; DOS(E_F) = 0.427 states/eV per atom; total moment = 2.0 Bohr magnetons per cell
1.0
7.067 -3.500 0.000
7.067 3.500 0.000
-3.075 0.000 8.668
Ba Os Cl
2 2 10
Direct
0.021 0.979 0.750 Ba
0.979 0.021 0.250 Ba
0.500 0.500 0.000 Os
0.500 0.500 0.500 Os
0.131 0.619 0.915 Cl
0.131 0.622 0.457 Cl
0.378 0.869 0.043 Cl
0.381 0.869 0.585 Cl
0.422 0.578 0.250 Cl
0.578 0.422 0.750 Cl
0.619 0.131 0.415 Cl
0.622 0.131 0.957 Cl
0.869 0.378 0.543 Cl
0.869 0.381 0.085 Cl


Entry 17:
Tm5ThSc4 | Alexandria via LeMat-Bulk | PBE | relaxed; DOS(E_F) = 1.581 states/eV per atom; E_form = 0.037 eV per atom; total moment = 0.0 Bohr magnetons per cell
1.0
8.020 -1.689 0.000
8.020 1.689 0.000
-3.444 0.000 10.341
Tm Th Sc
5 1 4
Direct
0.000 0.000 0.000 Tm
0.290 0.290 0.381 Tm
0.309 0.309 0.920 Tm
0.691 0.691 0.080 Tm
0.710 0.710 0.619 Tm
0.000 0.000 0.500 Th
0.104 0.104 0.798 Sc
0.419 0.419 0.707 Sc
0.581 0.581 0.293 Sc
0.896 0.896 0.202 Sc


Entry 18:
Y6In2Ga | Alexandria via LeMat-Bulk | PBE | relaxed; DOS(E_F) = 1.074 states/eV per atom; E_form = -0.394 eV per atom; total moment = 3.5 Bohr magnetons per cell
1.0
8.720 0.000 0.000
-4.360 7.552 0.000
0.000 0.000 3.896
Y In Ga
6 2 1
Direct
0.000 0.392 0.000 Y
0.000 0.740 0.500 Y
0.260 0.260 0.500 Y
0.392 0.000 0.000 Y
0.608 0.608 0.000 Y
0.740 0.000 0.500 Y
0.333 0.667 0.500 In
0.667 0.333 0.500 In
0.000 0.000 0.000 Ga


Entry 19:
NaPr2YS4 | Alexandria via LeMat-Bulk | PBE | relaxed; E_form (uncorrected) = -1.903 eV per atom; DOS(E_F) = 0.332 states/eV per atom; total moment = 0.0 Bohr magnetons per cell
1.0
7.002 0.000 0.000
0.000 4.034 0.000
-2.306 0.000 6.619
Na Pr Y S
1 2 1 4
Direct
0.000 0.000 0.000 Na
0.000 0.500 0.500 Pr
0.500 0.000 0.500 Pr
0.500 0.500 0.000 Y
0.254 0.500 0.243 S
0.258 0.000 0.764 S
0.742 0.000 0.236 S
0.746 0.500 0.757 S


Entry 20:
CoAsHSe2 | Alexandria via LeMat-Bulk | PBE | relaxed; total energy = -3.60 eV/atom; DOS(E_F) = 1.151 states/eV per atom; total moment = 1.5 Bohr magnetons per cell
1.0
4.774 0.000 0.000
0.000 4.774 0.000
0.000 0.000 4.431
Co As H Se
1 1 1 2
Direct
0.000 0.000 0.000 Co
0.000 0.000 0.500 As
0.500 0.500 0.500 H
0.000 0.500 0.000 Se
0.500 0.000 0.000 Se